Entry 1:
{
  "formula": "Pm2HgPd",
  "functional": "PBE",
  "state": "optimized geometry",
  "lattice": [[3.681, 0.000, 0.000], [0.000, 3.681, 0.000], [0.000, 0.000, 7.518]],
  "species": ["Pm", "Pm", "Hg", "Pd"],
  "fractional_positions": [[0.000, 0.000, 0.230], [0.000, 0.000, 0.770], [0.500, 0.500, 0.500], [0.500, 0.500, 0.000]],
  "dos_at_fermi_per_ev_atom": 0.81,
  "total_energy_ev_per_cell": -17.5,
  "space_group": "P4/mmm",
  "polymorph_energy_kcal_per_mol_atoms": 0.00,
  "crystal_system": "tetragonal"
}

***

Entry 2:
{
  "formula": "PmHg2Pd8",
  "functional": "PBE",
  "state": "optimized geometry",
  "lattice": [[7.343, -2.099, 0.000], [7.343, 2.099, 0.000], [-1.703, 0.000, 6.231]],
  "species": ["Pm", "Hg", "Hg", "Pd", "Pd", "Pd", "Pd", "Pd", "Pd", "Pd", "Pd"],
  "fractional_positions": [[0.000, 0.000, 0.000], [0.275, 0.275, 0.351], [0.725, 0.725, 0.649], [0.091, 0.091, 0.464], [0.182, 0.182, 0.912], [0.361, 0.361, 0.813], [0.458, 0.458, 0.281], [0.542, 0.542, 0.719], [0.639, 0.639, 0.187], [0.818, 0.818, 0.088], [0.909, 0.909, 0.536]],
  "dos_at_fermi_per_ev_atom": 0.31,
  "total_energy_ev_per_cell": -50.8,
  "space_group": "C2/m",
  "polymorph_energy_kcal_per_mol_atoms": 0.00,
  "crystal_system": "monoclinic"
}

***

Entry 3:
{
  "formula": "PmPrHgPd",
  "functional": "PBE",
  "state": "optimized geometry",
  "lattice": [[0.000, 3.734, 3.734], [3.734, 0.000, 3.734], [3.734, 3.734, 0.000]],
  "species": ["Pm", "Pr", "Hg", "Pd"],
  "fractional_positions": [[0.000, 0.000, 0.000], [0.500, 0.500, 0.500], [0.250, 0.250, 0.250], [0.750, 0.750, 0.750]],
  "dos_at_fermi_per_ev_atom": 0.89,
  "total_energy_ev_per_cell": -17.3,
  "space_group": "F-43m",
  "crystal_system": "cubic"
}

***

Entry 4:
{
  "formula": "PmPuHgPd",
  "functional": "PBE",
  "state": "optimized geometry",
  "lattice": [[0.000, 3.685, 3.685], [3.685, 0.000, 3.685], [3.685, 3.685, 0.000]],
  "species": ["Pm", "Pu", "Hg", "Pd"],
  "fractional_positions": [[0.000, 0.000, 0.000], [0.500, 0.500, 0.500], [0.250, 0.250, 0.250], [0.750, 0.750, 0.750]],
  "dos_at_fermi_per_ev_atom": 2.81,
  "total_energy_ev_per_cell": -26.0,
  "space_group": "F-43m",
  "crystal_system": "cubic"
}